A relaxed CsMnCuO2 crystal. Source: Alexandria via LeMat-Bulk, functional PBE+U.

POSCAR file:
```
CsMnCuO2
1.0
-4.4575 0.2330 2.1335
-0.5921 -5.9368 -0.5887
3.0035 2.1284 6.0425
Cs Mn Cu O
2 2 2 4
direct
0.2425 0.7500 0.5000
0.7575 0.2500 0.5000
0.5000 0.7500 0.0000
0.5000 0.2500 0.0000
0.0000 0.0000 0.0000
0.0000 0.5000 0.0000
0.7027 0.9119 0.8237
0.7027 0.5881 0.1763
0.2973 0.4119 0.8237
0.2973 0.0881 0.1763
```

Summary:
Total moment = 10.00 μB per cell
Raw total energy = -5.63 eV per atom